DFT (PBE) results for a geometry-optimized BaAg2Rh structure.

Geometry as POSCAR:
```
BaAg2Rh
1.0
3.173 0.000 0.000
-1.587 2.748 0.000
0.000 0.000 30.375
Ba Ag Rh
3 6 3
direct
0.000 0.000 0.000
0.333 0.667 0.667
0.667 0.333 0.333
0.000 0.000 0.237
0.000 0.000 0.763
0.333 0.667 0.430
0.333 0.667 0.904
0.667 0.333 0.096
0.667 0.333 0.570
0.000 0.000 0.500
0.333 0.667 0.167
0.667 0.333 0.833
```

Its space group is No. 166. The theoretical density is 8.58 g cm⁻³. The formation energy from the elements is 594 meV/atom.